1.
The following is a PBE calculation of SrSi3Pt6 after structural relaxation, from the Alexandria database.

abc: 6.345 6.345 6.427
angles: 90.00 119.58 120.00
Fractional positions:
Pt  0.318  0.870  0.709
Si  0.269  0.134  0.403
Pt  0.115  0.692  0.233
Pt  0.261  0.391  0.709
Pt  0.839  0.448  0.709
Pt  0.811  0.118  0.233
Si  0.625  0.313  0.938
Pt  0.541  0.423  0.233
Si  0.379  0.689  0.068
Sr  0.843  0.921  0.764

Output
DOS(E_F) ... 3.2 states/eV/cell
Calculated density ... 12.1 Mg/m³
Formation energy (no corrections) ... -0.716 eV per atom
Space group ... R3 (146)

***

2.
The following is a PBE calculation of Sr3Si6Pt5 after structural relaxation, from the Alexandria database.

abc: 4.218 10.430 12.434
angles: 90.00 90.00 90.00
Fractional positions:
Si  0.500  0.987  0.678
Sr  0.000  0.248  0.652
Sr  0.500  0.752  0.848
Pt  0.500  0.143  0.175
Si  0.000  0.013  0.178
Si  0.000  0.974  0.500
Sr  0.500  0.746  0.500
Pt  0.000  0.857  0.325
Si  0.000  0.606  0.686
Si  0.000  0.013  0.822
Sr  0.000  0.254  0.000
Si  0.500  0.508  0.000
Pt  0.000  0.922  0.000
Si  0.500  0.026  0.000
Sr  0.000  0.248  0.348
Si  0.500  0.394  0.186
Si  0.500  0.987  0.322
Si  0.000  0.492  0.500
Pt  0.000  0.857  0.675
Pt  0.000  0.511  0.126
Pt  0.500  0.489  0.374
Sr  0.500  0.752  0.152
Pt  0.500  0.143  0.825
Pt  0.500  0.489  0.626
Pt  0.000  0.511  0.874
Si  0.000  0.606  0.314
Si  0.500  0.394  0.814
Pt  0.500  0.078  0.500

Output
DOS(E_F) ... 6.4 states/eV/cell
Calculated density ... 8.5 Mg/m³
Formation energy (no corrections) ... -0.779 eV per atom
Space group ... Pmmn (59)

***

3.
The following is a PBE calculation of SrSi4Pt4 after structural relaxation, from the Alexandria database.

abc: 4.661 8.424 8.424
angles: 90.00 90.00 90.00
Fractional positions:
Si  0.000  0.615  0.885
Si  0.000  0.385  0.115
Pt  0.500  0.165  0.685
Si  0.500  0.115  0.385
Si  0.000  0.115  0.615
Sr  0.000  0.000  0.000
Sr  0.500  0.500  0.500
Pt  0.000  0.665  0.185
Pt  0.500  0.685  0.835
Si  0.000  0.885  0.385
Pt  0.500  0.835  0.315
Pt  0.000  0.815  0.665
Si  0.500  0.615  0.115
Si  0.500  0.885  0.615
Si  0.500  0.385  0.885
Pt  0.000  0.335  0.815
Pt  0.500  0.315  0.165
Pt  0.000  0.185  0.335

Output
DOS(E_F) ... 3.7 states/eV/cell
Calculated density ... 9.8 Mg/m³
Formation energy (no corrections) ... -0.841 eV per atom
Space group ... I4/m (87)
ΔE to the lowest computed polymorph ... 0.000 eV per atom

***

4.
The following is a PBE calculation of SrSi3Pt5 after structural relaxation, from the Alexandria database.

abc: 3.980 6.607 12.770
angles: 90.00 90.00 107.53
Fractional positions:
Pt  0.000  0.000  0.000
Si  0.885  0.770  0.250
Pt  0.552  0.105  0.644
Pt  0.000  0.000  0.500
Sr  0.156  0.311  0.250
Si  0.386  0.772  0.961
Si  0.614  0.228  0.039
Si  0.386  0.772  0.539
Pt  0.207  0.415  0.923
Pt  0.448  0.895  0.144
Pt  0.448  0.895  0.356
Pt  0.552  0.105  0.856
Pt  0.793  0.585  0.077
Pt  0.207  0.415  0.577
Sr  0.844  0.689  0.750
Si  0.115  0.230  0.750
Pt  0.793  0.585  0.423
Si  0.614  0.228  0.461

Output
DOS(E_F) ... 4.7 states/eV/cell
Calculated density ... 11.9 Mg/m³
Formation energy (no corrections) ... -0.836 eV per atom
Space group ... Cmcm (63)

***

5.
The following is a PBE calculation of Sr2Si7Pt12 after structural relaxation, from the Alexandria database.

abc: 3.972 10.035 10.035
angles: 120.00 90.00 90.00
Fractional positions:
Si  0.500  0.622  0.555
Si  0.000  0.333  0.667
Pt  0.500  0.886  0.602
Pt  0.500  0.190  0.411
Sr  0.000  0.667  0.333
Si  0.500  0.445  0.068
Pt  0.000  0.779  0.733
Pt  0.000  0.485  0.935
Pt  0.500  0.716  0.114
Pt  0.500  0.398  0.284
Si  0.500  0.932  0.378
Pt  0.000  0.449  0.515
Pt  0.000  0.065  0.551
Pt  0.000  0.953  0.221
Pt  0.500  0.589  0.779
Si  0.000  0.737  0.954
Si  0.000  0.217  0.263
Pt  0.000  0.267  0.047
Pt  0.500  0.221  0.810
Si  0.000  0.046  0.783
Sr  0.500  0.000  0.000

Output
DOS(E_F) ... 8.7 states/eV/cell
Calculated density ... 13.0 Mg/m³
Formation energy (no corrections) ... -0.803 eV per atom
Space group ... P-6 (174)

***

6.
The following is a PBE calculation of Sr2SiPt2 after structural relaxation, from the Alexandria database.

abc: 6.022 6.022 5.613
angles: 57.56 57.56 90.00
Fractional positions:
Si  0.000  0.000  0.000
Pt  0.317  0.317  0.367
Sr  0.750  0.250  0.500
Sr  0.250  0.750  0.500
Pt  0.683  0.683  0.633

Output
DOS(E_F) ... 2.0 states/eV/cell
Calculated density ... 7.4 Mg/m³
Formation energy (no corrections) ... -0.621 eV per atom
Space group ... I4/mmm (139)

***

7.
The following is a PBE calculation of SrSi12Pt4 after structural relaxation, from the Alexandria database.

abc: 7.297 7.297 7.297
angles: 109.47 109.47 109.47
Fractional positions:
Si  0.493  0.852  0.641
Pt  0.000  0.500  0.000
Si  0.507  0.148  0.359
Pt  0.000  0.000  0.500
Si  0.852  0.641  0.493
Si  0.641  0.789  0.148
Si  0.641  0.493  0.852
Si  0.789  0.148  0.641
Si  0.852  0.359  0.211
Pt  0.500  0.000  0.000
Si  0.211  0.852  0.359
Si  0.148  0.359  0.507
Si  0.148  0.641  0.789
Si  0.359  0.507  0.148
Sr  0.000  0.000  0.000
Si  0.359  0.211  0.852
Pt  0.500  0.500  0.500

Output
DOS(E_F) ... 11.1 states/eV/cell
Calculated density ... 6.7 Mg/m³
Formation energy (no corrections) ... -0.400 eV per atom
Space group ... Im-3 (204)

***

8.
The following is a PBE calculation of Sr2SiPt2 after structural relaxation, from the Alexandria database.

abc: 6.941 6.941 4.764
angles: 90.00 90.00 90.00
Fractional positions:
Pt  0.855  0.645  0.000
Si  0.500  0.500  0.000
Pt  0.645  0.145  0.000
Sr  0.172  0.672  0.500
Si  0.000  0.000  0.000
Pt  0.355  0.855  0.000
Sr  0.672  0.828  0.500
Sr  0.828  0.328  0.500
Pt  0.145  0.355  0.000
Sr  0.328  0.172  0.500

Output
DOS(E_F) ... 3.7 states/eV/cell
Calculated density ... 8.6 Mg/m³
Formation energy (no corrections) ... -0.596 eV per atom
Space group ... P4/mbm (127)